The following is a DFT calculation (PBE) of an optimized crystal structure of Pr2NdZn6.

As for the total moment: 0.0 μB/f.u. The energy of formation from the pure elements comes out at -7.9 kcal/mol of atoms. Its crystal system is hexagonal. For the density of states at the Fermi level, the calculation gives 8.52 states/eV/cell.

The structure belongs to space group P6/mmm (No. 191); the cell edges are 7.9549, 7.9549 and 3.6511 Å and the angles 90.00°, 90.00° and 120.00°. The asymmetric unit holds Pr at (0.3333, 0.6667, 0.0000), Nd at (0.0000, 0.0000, 0.0000) and Zn at (0.0000, 0.3324, 0.5000).